Record 1
# CuI

Crystalline CuI at its relaxed geometry (PBE, Alexandria).

Cell: 4.2314 6.2317 12.6503 Å, 90.00 90.00 90.00°
Closest atoms and distances in Å follow each position.
Fractional positions:
Cu (0.0000, 0.4697, 0.0000)  4 I 2.59-2.67
I (0.5000, 0.2694, 0.6676)  4 Cu 2.62-2.70
Cu (0.5000, 0.5303, 0.5000)  4 I 2.59-2.67
Cu (0.0000, 0.0222, 0.3252)  4 I 2.62-2.71, 2 Cu 2.86
I (0.5000, 0.2694, 0.3324)  4 Cu 2.62-2.70
Cu (0.5000, 0.9778, 0.1748)  4 I 2.62-2.71, 2 Cu 2.86
I (0.0000, 0.7701, 0.5000)  4 Cu 2.59-2.71
I (0.0000, 0.7306, 0.8324)  4 Cu 2.62-2.70
I (0.0000, 0.7306, 0.1676)  4 Cu 2.62-2.70
Cu (0.0000, 0.0222, 0.6748)  4 I 2.62-2.71, 2 Cu 2.86
I (0.5000, 0.2299, 0.0000)  4 Cu 2.59-2.71
Cu (0.5000, 0.9778, 0.8252)  4 I 2.62-2.71, 2 Cu 2.86

Values from the calculation:
The calculation puts the calculated density at 5.69 g/cm³. The energy relative to the elements, uncorrected comes out at -0.098 eV/atom. Its space group is Pmmn, No. 59. The volume is 333.6 Å³ per cell.



Record 2
# K4Rb3Hg4

Crystalline K4Rb3Hg4 at its relaxed geometry (PBE, Alexandria).

Cell: 9.1162 9.1162 9.1162 Å, 109.47 109.47 109.47°
Closest atoms and distances in Å follow each position.
Fractional positions:
K (0.0000, 0.0000, 0.4047)  4 Hg 3.38-3.57
Rb (0.5000, 0.5000, 0.0000)  4 K 4.35, 4 Hg 4.41
Hg (0.0000, 0.7755, 0.0000)  3 Hg 3.34, 4 K 3.38-3.57
Hg (0.7755, 0.0000, 0.0000)  3 Hg 3.34, 4 K 3.38-3.57
K (0.4047, 0.0000, 0.0000)  4 Hg 3.38-3.57
Rb (0.0000, 0.5000, 0.5000)  4 K 4.35, 4 Hg 4.41
Rb (0.5000, 0.0000, 0.5000)  4 K 4.35, 4 Hg 4.41
Hg (0.2245, 0.2245, 0.2245)  3 Hg 3.34, 4 K 3.38-3.57
K (0.5953, 0.5953, 0.5953)  4 Hg 3.38-3.57
K (0.0000, 0.4047, 0.0000)  4 Hg 3.38-3.57
Hg (0.0000, 0.0000, 0.7755)  3 Hg 3.34, 4 K 3.38-3.57

Values from the calculation:
The calculation puts the calculated density at 3.46 g/cm³. Its space group is I-43m, No. 217. As for the energy above the most stable polymorph in this dataset: 34 meV/atom. Its formation enthalpy at 0 K is -0.135 eV per atom. The volume is 583.2 Å³ per cell.



Record 3
# LuPu2H

Crystalline LuPu2H at its relaxed geometry (PBE, Alexandria).

Cell: 3.6797 3.6797 6.5744 Å, 73.75 73.75 60.00°
Closest atoms and distances in Å follow each position.
Fractional positions:
Pu (0.3039, 0.3039, 0.0882)  3 H 2.19, 3 Pu 2.39
H (0.0000, 0.0000, 0.0000)  6 Pu 2.19
Pu (0.6961, 0.6961, 0.9118)  3 H 2.19, 3 Pu 2.39
Lu (0.5000, 0.5000, 0.5000)  8 Pu 3.33-3.66, 6 Lu 3.68

Values from the calculation:
The calculation puts the calculated density at 15.11 g/cm³. Its space group is R-3m, No. 166. As for the energy above the most stable polymorph in this dataset: 29 meV/atom. The volume is 73.0 Å³ per cell.



Record 4
# BaOs2Rh

Crystalline BaOs2Rh at its relaxed geometry (PBE, Alexandria).

Cell: 3.9171 3.9171 5.0716 Å, 90.00 90.00 90.00°
Closest atoms and distances in Å follow each position.
Fractional positions:
Rh (0.5000, 0.5000, 0.5000)  4 Ba 2.77
Os (0.0000, 0.5000, 0.0000)  4 Os 2.77
Os (0.5000, 0.0000, 0.0000)  4 Os 2.77
Ba (0.0000, 0.0000, 0.5000)  4 Rh 2.77

Values from the calculation:
The calculation puts the calculated density at 13.25 g/cm³. Its space group is P4/mmm, No. 123. As for the energy above the most stable polymorph in this dataset: 1014 meV/atom. Its formation enthalpy at 0 K is 1.328 eV per atom. The volume is 77.8 Å³ per cell.